The following is a PBE calculation of ZrTi5S6 after structural relaxation, from Alexandria.

The calculation puts the uncorrected formation energy at -120 kJ/mol of atoms.

The structure belongs to space group C2/m (No. 12); the cell edges are 6.1200, 10.7501 and 6.1270 Å and the angles 90.00°, 109.29° and 90.00°. The asymmetric unit holds Zr at (0.0000, 0.0000, 0.0000), Ti at (0.0000, 0.1289, 0.5000), Ti at (0.0000, 0.3192, 0.0000), Ti at (0.0000, 0.5000, 0.5000), S at (0.2156, 0.5000, 0.2265) and S at (0.2365, 0.3242, 0.7270).